1.
VASP calculation (PBE) on a relaxed MnPdCl2 crystal.

abc: 4.6166 4.6166 4.6166
angles: 60.00 60.00 60.00
With the nearest neighbours (Å) after each atom.
Fractional coordinates of all 4 atoms:
Mn 0.0000 0.0000 0.0000  8 Cl 2.83
Pd 0.5000 0.5000 0.5000  8 Cl 2.83
Cl 0.2500 0.2500 0.2500  4 Mn 2.83, 4 Pd 2.83
Cl 0.7500 0.7500 0.7500  4 Mn 2.83, 4 Pd 2.83

- DOS(E_F): 0.01 states/eV per atom
- Energy relative to the lowest polymorph listed for this composition: 232.5 meV/atom
- Formation energy from raw total energies: -0.426 eV/f.u.



2.
VASP calculation (PBE) on a relaxed Mn3PdCl crystal.

abc: 4.9472 4.9472 4.9472
angles: 90.00 90.00 90.00
With the nearest neighbours (Å) after each atom.
Fractional coordinates of all 5 atoms:
Mn 0.0000 0.0000 0.5000  2 Pd 2.47
Mn 0.0000 0.5000 0.0000  2 Pd 2.47
Mn 0.5000 0.0000 0.0000  2 Pd 2.47
Pd 0.0000 0.0000 0.0000  6 Mn 2.47
Cl 0.5000 0.5000 0.5000  12 Mn 3.50

- DOS(E_F): 0.66 states/eV per atom
- Formation energy from raw total energies: 3.257 eV/f.u.



3.
VASP calculation (PBE) on a relaxed RbMnPdCl2 crystal.

abc: 5.0104 5.0104 5.0841
angles: 90.00 90.00 90.00
With the nearest neighbours (Å) after each atom.
Fractional coordinates of all 5 atoms:
Rb 0.0000 0.0000 0.0000  4 Pd 3.54, 8 Cl 3.57
Mn 0.5000 0.5000 0.5000  4 Cl 2.51, 2 Pd 2.54
Pd 0.5000 0.5000 0.0000  2 Mn 2.54
Cl 0.0000 0.5000 0.5000  2 Mn 2.51
Cl 0.5000 0.0000 0.5000  2 Mn 2.51

- DOS(E_F): 0.25 states/eV per atom
- Energy relative to the lowest polymorph listed for this composition: 0.0 meV/atom
- Formation energy from raw total energies: -2.885 eV/f.u.



| no. | magnetic moment (μB per cell) |
| --- | --- |
| 1 | 5.0 |
| 2 | 13.9 |
| 3 | 4.2 |